[1]
The following is a DFT calculation (GGA-PBE) of a relaxed structure of Rb3Nd3ReO8.

a b c (Å): 7.0773 7.0772 7.7815
angles (deg): 117.06 90.00 120.00
With the nearest neighbours (Å) after each atom.
Atoms (fractional coordinates):
1 Nd 0.5000 0.0000 0.5000  6 O 2.36-2.42
2 Nd 0.5000 0.5000 0.5000  6 O 2.36-2.42
3 O 0.2037 0.9618 0.6654  1 Re 2.12
4 Rb 0.0000 0.0000 0.0000  6 O 2.94-2.95
5 O 0.7581 0.9618 0.6654  1 Re 2.12
6 Rb 0.5000 0.5000 0.0000  6 O 2.94-2.95
7 Re 0.0000 0.0000 0.5000  6 O 2.12
8 O 0.2037 0.4073 0.6654  1 Re 2.12
9 O 0.2734 0.5467 0.3202  3 Nd 2.36
10 O 0.7963 0.5927 0.3346  1 Re 2.12
11 O 0.7963 0.0382 0.3346  1 Re 2.12
12 O 0.2419 0.0382 0.3346  1 Re 2.12
13 O 0.7266 0.4533 0.6798  3 Nd 2.36
14 Rb 0.0000 0.5000 0.0000  6 O 2.94-2.95
15 Nd 0.0000 0.5000 0.5000  6 O 2.36-2.42

## Properties
- ΔE_f (raw): -2.272 eV/atom
- V: 19.1 Å³/atom
- Space group: R-3m (166)

=====

[2]
The following is a DFT calculation (GGA-PBE) of a relaxed structure of AcAs4Cl.

a b c (Å): 5.8262 5.8262 5.8262
angles (deg): 60.00 60.00 60.00
With the nearest neighbours (Å) after each atom.
Atoms (fractional coordinates):
1 As 0.1579 0.6140 0.6140  3 As 2.66
2 As 0.6140 0.1579 0.6140  3 As 2.66
3 As 0.6140 0.6140 0.1579  3 As 2.66
4 As 0.6140 0.6140 0.6140  3 As 2.66
5 Cl 0.2500 0.2500 0.2500  12 As 3.39, 4 Ac 3.57
6 Ac 0.0000 0.0000 0.0000  12 As 3.45, 4 Cl 3.57

## Properties
- ΔE_f (raw): -0.496 eV/atom
- V: 23.3 Å³/atom
- Space group: F-43m (216)

=====

[3]
The following is a DFT calculation (GGA-PBE) of a relaxed structure of NdDy2Sc.

a b c (Å): 3.5195 3.5195 11.5657
angles (deg): 81.25 81.25 60.00
With the nearest neighbours (Å) after each atom.
Atoms (fractional coordinates):
1 Nd 0.5000 0.5000 0.5000  6 Nd 3.52, 6 Dy 3.62
2 Dy 0.2543 0.2543 0.2371  3 Sc 3.38, 6 Dy 3.52, 3 Nd 3.62
3 Sc 0.0000 0.0000 0.0000  6 Dy 3.38, 6 Sc 3.52
4 Dy 0.7457 0.7457 0.7629  3 Sc 3.38, 6 Dy 3.52, 3 Nd 3.62

## Properties
- Offset from the most stable computed form: 7 meV/atom
- V: 30.5 Å³/atom
- Space group: R-3m (166)
- Formation enthalpy at 0 K: 0.05 eV per atom

=====

[4]
The following is a DFT calculation (GGA-PBE) of a relaxed structure of U4Si6Mo7.

a b c (Å): 7.2252 7.2252 7.2252
angles (deg): 109.47 109.47 109.47
With the nearest neighbours (Å) after each atom.
Atoms (fractional coordinates):
1 Si 0.6938 0.6938 0.0000  5 Mo 2.56-2.64
2 Si 0.0000 0.6938 0.6938  5 Mo 2.56-2.64
3 Si 0.6938 0.0000 0.6938  5 Mo 2.56-2.64
4 U 0.5000 0.5000 0.5000  6 Mo 2.95, 6 Si 2.99
5 Mo 0.2500 0.7500 0.5000  4 Si 2.64, 4 Mo 2.95, 4 U 2.95
6 U 0.0000 0.5000 0.0000  6 Mo 2.95, 6 Si 2.99
7 Mo 0.5000 0.2500 0.7500  4 Si 2.64, 4 U 2.95, 4 Mo 2.95
8 U 0.0000 0.0000 0.5000  6 Mo 2.95, 6 Si 2.99
9 Si 0.3062 0.0000 0.3062  5 Mo 2.56-2.64
10 Si 0.0000 0.3062 0.3062  5 Mo 2.56-2.64
11 Mo 0.7500 0.2500 0.5000  4 Si 2.64, 4 Mo 2.95, 4 U 2.95
12 Mo 0.2500 0.5000 0.7500  4 Si 2.64, 4 Mo 2.95, 4 U 2.95
13 Mo 0.7500 0.5000 0.2500  4 Si 2.64, 4 Mo 2.95, 4 U 2.95
14 Mo 0.5000 0.7500 0.2500  4 Si 2.64, 4 U 2.95, 4 Mo 2.95
15 Si 0.3062 0.3062 0.0000  5 Mo 2.56-2.64
16 Mo 0.0000 0.0000 0.0000  6 Si 2.56
17 U 0.5000 0.0000 0.0000  6 Mo 2.95, 6 Si 2.99

## Properties
- ΔE_f (raw): -0.302 eV/atom
- V: 17.1 Å³/atom
- Space group: Im-3m (229)

=====

[5]
The following is a DFT calculation (GGA-PBE) of a relaxed structure of ZrBeNi2.

a b c (Å): 4.6075 4.6075 4.6075
angles (deg): 132.13 132.13 70.03
With the nearest neighbours (Å) after each atom.
Atoms (fractional coordinates):
1 Ni 0.0000 0.0000 0.0000  4 Zr 2.64, 4 Be 2.66, 4 Ni 2.66
2 Ni 0.2500 0.7500 0.5000  4 Be 2.64, 4 Zr 2.66, 4 Ni 2.66
3 Zr 0.5000 0.5000 0.0000  8 Ni 2.64-2.66, 4 Be 2.66
4 Be 0.7500 0.2500 0.5000  8 Ni 2.64-2.66, 4 Zr 2.66

## Properties
- Offset from the most stable computed form: 234 meV/atom
- V: 13.2 Å³/atom
- Space group: I-4m2 (119)
- Formation enthalpy at 0 K: -0.21 eV per atom

=====

[6]
The following is a DFT calculation (GGA-PBE) of a relaxed structure of Eu2TlCu.

a b c (Å): 5.4277 5.4277 5.4277
angles (deg): 60.00 60.00 60.00
With the nearest neighbours (Å) after each atom.
Atoms (fractional coordinates):
1 Cu 0.5000 0.5000 0.5000  8 Eu 3.32
2 Tl 0.0000 0.0000 0.0000  8 Eu 3.32
3 Eu 0.7500 0.7500 0.7500  4 Tl 3.32, 4 Cu 3.32
4 Eu 0.2500 0.2500 0.2500  4 Cu 3.32, 4 Tl 3.32

## Properties
- Offset from the most stable computed form: 41 meV/atom
- V: 28.3 Å³/atom
- Space group: Fm-3m (225)
- Formation enthalpy at 0 K: -0.19 eV per atom

=====

[7]
The following is a DFT calculation (GGA-PBE) of a relaxed structure of Li2TlHg6.

a b c (Å): 4.9906 8.4026 8.4026
angles (deg): 44.05 72.75 72.75
With the nearest neighbours (Å) after each atom.
Atoms (fractional coordinates):
1 Hg 0.6988 0.5528 0.0498  5 Hg 2.92-3.17, 3 Li 3.12-3.19
2 Li 0.1189 0.3815 0.3815  10 Hg 3.12-3.37
3 Hg 0.6988 0.0498 0.5528  5 Hg 2.92-3.17, 3 Li 3.12-3.19
4 Tl 0.0000 0.0000 0.0000  4 Hg 3.03
5 Hg 0.3012 0.9502 0.4472  5 Hg 2.92-3.17, 3 Li 3.12-3.19
6 Hg 0.3012 0.4472 0.9502  5 Hg 2.92-3.17, 3 Li 3.12-3.19
7 Hg 0.5000 0.2728 0.7272  3 Hg 2.86-2.94, 2 Tl 3.03
8 Li 0.8811 0.6185 0.6185  10 Hg 3.12-3.37
9 Hg 0.5000 0.7272 0.2728  3 Hg 2.86-2.94, 2 Tl 3.03

## Properties
- Offset from the most stable computed form: 19 meV/atom
- V: 25.8 Å³/atom
- Space group: Immm (71)
- Formation enthalpy at 0 K: -0.11 eV per atom

=====

[8]
The following is a DFT calculation (GGA-PBE) of a relaxed structure of Li2BeBiSb.

a b c (Å): 4.9266 6.1842 4.9266
angles (deg): 90.00 90.00 90.00
With the nearest neighbours (Å) after each atom.
Atoms (fractional coordinates):
1 Li 0.0000 0.0000 0.5000  2 Sb 2.46
2 Sb 0.0000 0.0000 0.0000  4 Li 2.46
3 Be 0.5000 0.5000 0.5000  4 Bi 3.48
4 Li 0.5000 0.0000 0.0000  2 Sb 2.46
5 Bi 0.0000 0.5000 0.0000  2 Sb 3.09

## Properties
- ΔE_f (raw): 0.547 eV/atom
- V: 30.0 Å³/atom
- Space group: P4/mmm (123)

=====

Calculated mass density (g/cm³), listed in the same order as above: 5.80; 6.68; 6.99; 10.25; 6.85; 8.40; 10.17; 3.91